The following is a PBE calculation of Sr2CoPtN after structural relaxation, from Alexandria via LeMat-Bulk.

a b c (Å): 5.3920 5.3920 3.5179
angles (deg): 90.00 90.00 90.00
Last column: nearest neighbours and their distance in Å.
Atoms (fractional coordinates):
Sr: 0.0000 0.5000 0.0000  2 N 2.70
Sr: 0.5000 0.0000 0.0000  2 N 2.70
Co: 0.0000 0.0000 0.5000  2 N 1.76
Pt: 0.5000 0.5000 0.5000  8 Sr 3.22, 2 Pt 3.52
N: 0.0000 0.0000 0.0000  2 Co 1.76

Computed properties:
- total moment (μB per atom) = 0.059
- E_tot (Ry/atom) = -0.4067
- crystal system = tetragonal
- raw formation energy (eV/atom) = -0.566
- space group = P4/mmm

=====

The following is a PBE calculation of Tb2BSe after structural relaxation, from Alexandria via LeMat-Bulk.

a b c (Å): 7.2107 7.2107 7.2107
angles (deg): 30.93 30.93 30.93
Last column: nearest neighbours and their distance in Å.
Atoms (fractional coordinates):
Tb: 0.2408 0.2408 0.2408  3 B 2.69, 3 Se 2.93
Tb: 0.7592 0.7592 0.7592  3 B 2.69, 3 Se 2.93
B: 0.5000 0.5000 0.5000  6 Tb 2.69
Se: 0.0000 0.0000 0.0000  6 Tb 2.93

Computed properties:
- total moment (μB per atom) = 0.000
- E_tot (Ry/atom) = -0.4247
- crystal system = trigonal
- raw formation energy (eV/atom) = -0.923
- space group = R-3m